#i
First-principles (PBE) data for a relaxed structure of MoAs3S, as listed in the Alexandria database.

abc: 4.701 4.701 4.701
angles: 90.00 90.00 90.00
Space group Pm-3m (No. 221)
Asymmetric unit:
Mo 0.000 0.000 0.000
As 0.000 0.500 0.500
S 0.500 0.500 0.500

Calculated values
total magnetic moment = 2.8 μB per formula unit
calculated volume = 20.78 Å³ per atom

#ii
First-principles (PBE) data for a relaxed structure of MoAs3S, as listed in the Alexandria database.

abc: 4.836 4.836 4.836
angles: 90.00 90.00 90.00
Space group Pm-3m (No. 221)
Asymmetric unit:
Mo 0.000 0.000 0.000
As 0.000 0.000 0.500
S 0.500 0.500 0.500

Calculated values
total magnetic moment = 0.0 μB per formula unit
calculated volume = 22.63 Å³ per atom

The structure with the least stability is #i.

#i
First-principles (PBE) data for a relaxed structure of Sb2Mo2As, as listed in the Alexandria database.

abc: 4.166 4.166 12.484
angles: 90.00 90.00 90.00
Space group I4/mmm (No. 139)
Asymmetric unit:
Sb 0.000 0.500 0.250
Mo 0.000 0.000 0.104
As 0.000 0.000 0.500

Calculated values
total magnetic moment = 0.5 μB per formula unit
calculated volume = 21.66 Å³ per atom

#ii
First-principles (PBE) data for a relaxed structure of Sb2Mo2As, as listed in the Alexandria database.

abc: 7.493 7.493 3.473
angles: 90.00 90.00 90.00
Space group P4/mbm (No. 127)
Asymmetric unit:
Sb 0.147 0.353 0.000
Mo 0.148 0.648 0.500
As 0.000 0.000 0.500

Calculated values
total magnetic moment = 0.0 μB per formula unit
calculated volume = 19.50 Å³ per atom

The structure with the least stability is #i.

#i
First-principles (PBE) data for a relaxed structure of SbMo2As, as listed in the Alexandria database.

abc: 9.121 3.309 4.867
angles: 90.00 106.38 90.00
Space group Cm (No. 8)
Asymmetric unit:
Sb 0.000 0.000 0.000
Mo 0.251 0.000 0.805
Mo 0.494 0.000 0.478
As 0.262 0.500 0.386

Calculated values
total magnetic moment = 0.0 μB per formula unit
calculated volume = 17.62 Å³ per atom

#ii
First-principles (PBE) data for a relaxed structure of SbMo2As, as listed in the Alexandria database.

abc: 6.462 6.462 6.462
angles: 90.00 90.00 90.00
Space group Fm-3m (No. 225)
Asymmetric unit:
Sb 0.000 0.000 0.000
Mo 0.250 0.250 0.250
As 0.000 0.000 0.500

Calculated values
total magnetic moment = 0.0 μB per formula unit
calculated volume = 16.86 Å³ per atom

The structure with the least stability is #ii.